1.
TlCu2 | Alexandria | PBE | optimized geometry; Fermi-level density of states = 2.3 states/eV/cell
1.0
2.865 -5.015 5.804
0.915 -0.602 8.114
-4.294 1.650 -6.774
Tl Cu
2 4
direct
0.500 0.500 0.000
0.250 0.750 0.500
0.922 0.922 0.000
0.828 0.328 0.500
0.078 0.078 0.000
0.672 0.172 0.500

***

2.
Tl2Cu | Alexandria | PBE | optimized geometry; Fermi-level density of states = 1.3 states/eV/cell
1.0
6.595 -0.116 0.000
4.883 4.434 0.000
-5.739 -2.159 2.431
Cu Tl
1 2
direct
0.000 0.000 0.000
0.360 0.360 0.000
0.640 0.640 0.000

***

3.
TlCu2 | Alexandria | PBE | optimized geometry; Fermi-level density of states = 0.5 states/eV/cell
1.0
5.093 -0.037 0.000
2.948 4.153 0.000
-4.021 -2.058 2.353
Cu Tl
2 1
direct
0.694 0.694 0.000
0.306 0.306 0.000
0.000 0.000 0.000

***

4.
TlCu6 | Alexandria | PBE | optimized geometry; Fermi-level density of states = 1.7 states/eV/cell
1.0
5.681 0.000 0.000
-1.894 5.356 0.000
-1.894 -2.678 4.638
Tl Cu
1 6
direct
0.000 0.000 0.000
0.250 0.750 0.500
0.500 0.750 0.250
0.250 0.500 0.750
0.750 0.250 0.500
0.500 0.250 0.750
0.750 0.500 0.250

***

5.
Tl3Cu | Alexandria | PBE | optimized geometry; Fermi-level density of states = 2.1 states/eV/cell
1.0
5.786 -0.202 0.000
2.177 5.365 0.000
-3.982 -2.582 3.317
Tl Cu
3 1
direct
0.750 0.250 0.500
0.250 0.750 0.500
0.500 0.500 0.000
0.000 0.000 0.000

***

6.
Tl3Cu | Alexandria | PBE | optimized geometry; Fermi-level density of states = 1.9 states/eV/cell
1.0
-2.896 -1.858 -0.700
2.617 0.121 -2.339
4.087 -7.936 4.163
Cu Tl
1 3
direct
0.000 0.000 0.000
0.000 0.000 0.500
0.667 0.333 0.204
0.667 0.333 0.796

***

7.
Tl2Cu | Alexandria | PBE | optimized geometry; Fermi-level density of states = 1.8 states/eV/cell
1.0
-2.945 4.453 -0.724
2.627 -2.198 -4.159
-2.439 -1.716 -0.634
Tl Cu
2 1
direct
0.667 0.333 0.000
0.333 0.667 0.000
0.000 0.000 0.500

***

8.
TlCu2 | Alexandria | PBE | optimized geometry; Fermi-level density of states = 2.2 states/eV/cell
1.0
-3.326 -1.607 5.526
-1.461 -3.000 -5.749
2.951 -3.109 0.872
Tl Cu
3 6
direct
0.333 0.667 0.000
0.667 0.333 0.000
0.000 0.000 0.500
0.225 0.000 0.000
0.000 0.225 0.000
0.775 0.775 0.000
0.434 0.000 0.500
0.000 0.434 0.500
0.566 0.566 0.500

***

9.
Tl3Cu | Alexandria | PBE | optimized geometry; Fermi-level density of states = 2.4 states/eV/cell
1.0
-0.223 -0.843 -5.215
1.255 -5.078 0.767
-5.131 -1.205 0.415
Cu Tl
1 3
direct
0.000 0.000 0.000
0.500 0.000 0.000
0.000 0.500 0.000
0.000 0.000 0.500

***

10.
Tl4Cu | Alexandria | PBE | optimized geometry; Fermi-level density of states = 6.6 states/eV/cell
1.0
-3.328 3.328 3.328
3.328 -3.328 3.328
3.328 3.328 -3.328
Tl Cu
4 1
direct
0.500 0.000 0.000
0.500 0.500 0.500
0.000 0.500 0.000
0.000 0.000 0.500
0.000 0.000 0.000

***

11.
Tl2Cu | Alexandria | PBE | optimized geometry; Fermi-level density of states = 3.4 states/eV/cell
1.0
-2.358 -2.627 0.663
2.023 0.214 8.045
-6.812 6.505 1.541
Tl Cu
8 4
direct
0.250 0.991 0.834
0.750 0.509 0.334
0.250 0.491 0.666
0.750 0.009 0.166
0.250 0.165 0.448
0.750 0.335 0.948
0.250 0.665 0.052
0.750 0.835 0.552
0.250 0.802 0.325
0.750 0.698 0.825
0.250 0.302 0.175
0.750 0.198 0.675

***

12.
Tm2TlCu | Alexandria | PBE | optimized geometry; Fermi-level density of states = 3.1 states/eV/cell
1.0
-1.564 -1.979 -2.462
-2.384 -1.063 2.368
-4.403 5.774 -1.843
Tl Tm Cu
1 2 1
direct
0.500 0.500 0.500
0.000 0.000 0.781
0.000 0.000 0.219
0.500 0.500 0.000

***

13.
Tm3TlCu | Alexandria | PBE | optimized geometry; Fermi-level density of states = 8.9 states/eV/cell
1.0
3.701 0.000 0.000
0.000 8.163 -1.803
0.000 -0.233 8.594
Tm Tl Cu
6 2 2
direct
0.750 0.692 0.422
0.250 0.308 0.578
0.750 0.310 0.922
0.250 0.943 0.787
0.250 0.690 0.078
0.750 0.057 0.213
0.250 0.390 0.240
0.750 0.610 0.760
0.250 0.940 0.406
0.750 0.060 0.594

***

14.
Tm5Tl4Cu | Alexandria | PBE | optimized geometry; Fermi-level density of states = 4.8 states/eV/cell
1.0
-3.343 1.021 0.621
0.283 -1.115 3.359
6.562 18.158 5.474
Tm Tl Cu
5 4 1
direct
0.500 0.500 0.081
0.500 0.500 0.291
0.500 0.500 0.500
0.500 0.500 0.709
0.500 0.500 0.919
0.000 0.000 0.187
0.000 0.000 0.395
0.000 0.000 0.605
0.000 0.000 0.813
0.000 0.000 0.000

***

no.,energy (eV per cell)
1,-18.9
2,-8.1
3,-9.8
4,-22.0
5,-10.0
6,-10.4
7,-7.4
8,-28.2
9,-9.9
10,-12.4
11,-32.9
12,-16.6
13,-41.8
14,-39.0